Entry 1:
A relaxed Mg3MnZn crystal, computed with PBE.

Unit cell a=4.933 b=4.933 c=4.933 alpha=90.00 beta=90.00 gamma=90.00
Fractional coordinates of all 5 atoms:
Mg1 0.000 0.000 0.500
Mg2 0.000 0.500 0.000
Mg3 0.500 0.000 0.000
Mn1 0.500 0.500 0.500
Zn1 0.000 0.000 0.000

Values from the calculation:
density: 2.67 g/cm3
energy of formation from the pure elements: 0.54 eV/atom
symmetry: Pm-3m (221)
E above lowest polymorph: 0.000 eV per atom

---

Entry 2:
A relaxed TbPm4Pr6 crystal, computed with PBE.

Unit cell a=9.744 b=9.744 c=9.744 alpha=138.72 beta=138.72 gamma=59.80
Fractional coordinates of all 11 atoms:
Tb1 0.000 0.000 0.000
Pm1 0.207 0.207 0.652
Pm2 0.445 0.793 0.000
Pm3 0.555 0.555 0.348
Pm4 0.793 0.445 0.000
Pr1 0.000 0.500 0.500
Pr2 0.012 0.632 0.000
Pr3 0.368 0.368 0.380
Pr4 0.500 0.000 0.500
Pr5 0.632 0.012 0.000
Pr6 0.988 0.988 0.620

Values from the calculation:
density: 6.60 g/cm3
energy of formation from the pure elements: 0.28 eV/atom
symmetry: I-42m (121)
E above lowest polymorph: 0.002 eV per atom

---

Entry 3:
A relaxed MgReTe2 crystal, computed with PBE.

Unit cell a=4.226 b=4.226 c=7.011 alpha=103.36 beta=103.36 gamma=50.28
Fractional coordinates of all 4 atoms:
Mg1 0.000 0.000 0.000
Re1 0.500 0.500 0.500
Te1 0.247 0.247 0.713
Te2 0.753 0.753 0.287

Values from the calculation:
formation energy without anion corrections: 0.234 eV/atom
density: 8.30 g/cm3
symmetry: C2/m (12)

---

Entry 4:
A relaxed BeNiOs2 crystal, computed with PBE.

Unit cell a=2.807 b=4.138 c=4.356 alpha=90.00 beta=90.00 gamma=90.00
Fractional coordinates of all 4 atoms:
Be1 0.000 0.000 0.000
Ni1 0.500 0.000 0.500
Os1 0.000 0.500 0.500
Os2 0.500 0.500 0.000

Values from the calculation:
density: 14.71 g/cm3
energy of formation from the pure elements: 0.27 eV/atom
symmetry: Pmmm (47)

---

Entry 5:
A relaxed Mg2ScGe crystal, computed with PBE.

Unit cell a=4.179 b=4.179 c=4.504 alpha=90.00 beta=90.00 gamma=90.00
Fractional coordinates of all 4 atoms:
Mg1 0.000 0.500 0.000
Mg2 0.500 0.000 0.000
Sc1 0.000 0.000 0.500
Ge1 0.500 0.500 0.500

Values from the calculation:
density: 3.51 g/cm3
energy of formation from the pure elements: -0.36 eV/atom
symmetry: P4/mmm (123)

---

Entry 6:
A relaxed Tl2BiBr crystal, computed with PBE.

Unit cell a=9.359 b=9.359 c=9.359 alpha=136.74 beta=136.74 gamma=62.84
Fractional coordinates of all 8 atoms:
Tl1 0.117 0.625 0.992
Tl2 0.375 0.367 0.492
Tl3 0.633 0.125 0.008
Tl4 0.875 0.883 0.508
Bi1 0.000 0.000 0.000
Bi2 0.750 0.250 0.500
Br1 0.250 0.750 0.500
Br2 0.500 0.500 0.000

Values from the calculation:
formation energy without anion corrections: -0.094 eV/atom
density: 6.09 g/cm3
symmetry: I-42d (122)
E above lowest polymorph: 0.188 eV per atom